Computed, not measured: a relaxed structure of Y2InGa9 at the PBE level of DFT.

Properties
Magnetization in μB per formula unit: 0.00
SG: P4/mmm, No. 123
VASP energy in eV/atom: -3.8803

abc: 4.2809 4.2809 13.2130
angles: 90.00 90.00 90.00
With the nearest neighbours (Å) after each atom.
Element x y z (fractional)
Y  0.0000  0.0000  0.3398  12 Ga 3.01-3.10
Y  0.0000  0.0000  0.6602  12 Ga 3.01-3.10
In  0.0000  0.0000  0.0000  12 Ga 3.03-3.10
Ga  0.5000  0.5000  0.0000  4 In 3.03, 8 Ga 3.10
Ga  0.5000  0.5000  0.3374  4 Y 3.03, 8 Ga 3.03-3.08
Ga  0.5000  0.5000  0.6626  4 Y 3.03, 8 Ga 3.03-3.08
Ga  0.5000  0.0000  0.1699  8 Ga 3.03-3.10, 2 In 3.10, 2 Y 3.10
Ga  0.5000  0.0000  0.5000  4 Y 3.01, 8 Ga 3.03
Ga  0.5000  0.0000  0.8301  8 Ga 3.03-3.10, 2 In 3.10, 2 Y 3.10
Ga  0.0000  0.5000  0.1699  8 Ga 3.03-3.10, 2 In 3.10, 2 Y 3.10
Ga  0.0000  0.5000  0.5000  4 Y 3.01, 8 Ga 3.03
Ga  0.0000  0.5000  0.8301  8 Ga 3.03-3.10, 2 In 3.10, 2 Y 3.10

=====

Computed, not measured: a relaxed structure of HoPbI5 at the PBE level of DFT.

Properties
Magnetization in μB per formula unit: 0.00
SG: P2_1/m, No. 11
Formation energy from raw total energies in eV per formula unit: -7.12

abc: 4.4824 9.2930 14.9827
angles: 94.24 90.00 90.00
With the nearest neighbours (Å) after each atom.
Element x y z (fractional)
Ho  0.2500  0.4103  0.3506  7 I 3.03-3.35
Ho  0.7500  0.5897  0.6494  7 I 3.03-3.35
Pb  0.7500  0.0960  0.1371  7 I 3.23-3.54
Pb  0.2500  0.9040  0.8629  7 I 3.23-3.54
I  0.2500  0.0847  0.3197  1 Ho 3.03
I  0.7500  0.1485  0.9267  3 Pb 3.23-3.28
I  0.7500  0.3255  0.4852  3 Ho 3.15-3.35
I  0.2500  0.3602  0.1400  1 Ho 3.15, 2 Pb 3.32
I  0.2500  0.3882  0.7018  2 Ho 3.06
I  0.7500  0.6118  0.2982  2 Ho 3.06
I  0.7500  0.6398  0.8600  1 Ho 3.15, 2 Pb 3.32
I  0.2500  0.6745  0.5148  3 Ho 3.15-3.35
I  0.2500  0.8515  0.0733  3 Pb 3.23-3.28
I  0.7500  0.9153  0.6803  1 Ho 3.03

=====

Computed, not measured: a relaxed structure of Al2Zn6Ag at the PBE level of DFT.

Properties
Magnetization in μB per formula unit: 0.00
SG: C2/m, No. 12
Energy relative to the lowest polymorph listed for this composition in eV/atom: 0.000

abc: 4.1513 6.8574 6.8574
angles: 119.63 76.29 76.29
With the nearest neighbours (Å) after each atom.
Element x y z (fractional)
Al  0.5000  0.8497  0.1503  6 Zn 2.64-2.77, 2 Ag 2.74
Al  0.5000  0.1503  0.8497  6 Zn 2.64-2.77, 2 Ag 2.74
Zn  0.8322  0.4952  0.1842  5 Zn 2.60-2.78, 2 Al 2.64-2.66, 1 Ag 2.80
Zn  0.1678  0.5048  0.8158  5 Zn 2.60-2.78, 2 Al 2.64-2.66, 1 Ag 2.80
Zn  0.6723  0.6575  0.6575  7 Zn 2.56-2.78, 1 Ag 2.67, 2 Al 2.77
Zn  0.8322  0.1842  0.4952  5 Zn 2.60-2.78, 2 Al 2.64-2.66, 1 Ag 2.80
Zn  0.1678  0.8158  0.5048  5 Zn 2.60-2.78, 2 Al 2.64-2.66, 1 Ag 2.80
Zn  0.3277  0.3425  0.3425  7 Zn 2.56-2.78, 1 Ag 2.67, 2 Al 2.77
Ag  0.0000  0.0000  0.0000  6 Zn 2.67-2.80, 4 Al 2.74

=====

Computed, not measured: a relaxed structure of AlIr2Se at the PBE level of DFT.

Properties
Magnetization in μB per formula unit: 0.00
SG: Cm, No. 8
Energy relative to the lowest polymorph listed for this composition in eV/atom: 0.094
Formation energy from raw total energies in eV per formula unit: -0.34

abc: 4.9907 4.9907 4.3273
angles: 76.85 76.85 35.81
With the nearest neighbours (Å) after each atom.
Element x y z (fractional)
Ir  0.9851  0.9851  0.0692  4 Se 2.60-2.72, 3 Al 2.62-2.71
Ir  0.7533  0.7533  0.6781  1 Se 2.49, 4 Al 2.65
Al  0.2551  0.2551  0.1769  7 Ir 2.62-2.71
Se  0.5065  0.5065  0.5758  5 Ir 2.49-2.72

=====

Computed, not measured: a relaxed structure of KAc5 at the PBE level of DFT.

Properties
Magnetization in μB per formula unit: 0.00
SG: Cmmm, No. 65
VASP energy in eV/atom: -3.3809

abc: 4.0828 6.7634 10.8366
angles: 108.18 90.00 90.00
With the nearest neighbours (Å) after each atom.
Element x y z (fractional)
Ac  0.0000  0.6586  0.3172  10 Ac 3.85-4.08
Ac  0.0000  0.3414  0.6828  10 Ac 3.85-4.08
Ac  0.5000  0.5000  0.0000  6 Ac 3.85-4.08, 4 K 3.95
Ac  0.5000  0.1802  0.3605  8 Ac 3.90-4.08, 2 K 4.24
Ac  0.5000  0.8198  0.6395  8 Ac 3.90-4.08, 2 K 4.24
K  0.0000  0.0000  0.0000  8 Ac 3.95-4.24, 2 K 4.08

=====

Computed, not measured: a relaxed structure of MnSbMo2N at the PBE level of DFT.

Properties
Magnetization in μB per formula unit: 2.22
SG: P4/mmm, No. 123
Formation energy from raw total energies in eV per formula unit: -0.32

abc: 4.2413 4.2413 3.9037
angles: 90.00 90.00 90.00
With the nearest neighbours (Å) after each atom.
Element x y z (fractional)
Sb  0.5000  0.5000  0.5000  8 Mo 2.88, 4 Mn 3.00
Mo  0.0000  0.5000  0.0000  2 N 2.12
Mo  0.5000  0.0000  0.0000  2 N 2.12
Mn  0.0000  0.0000  0.5000  2 N 1.95
N  0.0000  0.0000  0.0000  2 Mn 1.95, 4 Mo 2.12

=====

Computed, not measured: a relaxed structure of GdPuSnRu at the PBE level of DFT.

Properties
Magnetization in μB per formula unit: 11.89
SG: F-43m, No. 216
VASP energy in eV/atom: -10.6018

abc: 5.0980 5.0980 5.0980
angles: 60.00 60.00 60.00
With the nearest neighbours (Å) after each atom.
Element x y z (fractional)
Ru  0.0000  0.0000  0.0000  4 Pu 3.12, 4 Gd 3.12
Gd  0.7500  0.7500  0.7500  4 Sn 3.12, 4 Ru 3.12
Sn  0.5000  0.5000  0.5000  4 Gd 3.12, 4 Pu 3.12
Pu  0.2500  0.2500  0.2500  4 Ru 3.12, 4 Sn 3.12

=====

Computed, not measured: a relaxed structure of Tl3ZnSb at the PBE level of DFT.

Properties
Magnetization in μB per formula unit: 0.00
SG: Pm-3m, No. 221
Energy relative to the lowest polymorph listed for this composition in eV/atom: 0.000
Formation energy from raw total energies in eV per formula unit: 1.31

abc: 5.3653 5.3653 5.3653
angles: 90.00 90.00 90.00
With the nearest neighbours (Å) after each atom.
Element x y z (fractional)
Sb  0.5000  0.5000  0.5000  12 Tl 3.79
Tl  0.0000  0.5000  0.0000  2 Zn 2.68
Tl  0.0000  0.0000  0.5000  2 Zn 2.68
Tl  0.5000  0.0000  0.0000  2 Zn 2.68
Zn  0.0000  0.0000  0.0000  6 Tl 2.68

=====

Computed, not measured: a relaxed structure of Tl2Hg2Pb3 at the PBE level of DFT.

Properties
Magnetization in μB per formula unit: 0.00
SG: Cmmm, No. 65
VASP energy in eV/atom: -2.3535

abc: 3.5656 4.9831 12.1710
angles: 101.81 90.00 90.00
With the nearest neighbours (Å) after each atom.
Element x y z (fractional)
Tl  0.0000  0.8487  0.6973  6 Hg 3.40-3.68, 2 Tl 3.57, 5 Pb 3.61
Tl  0.0000  0.1513  0.3027  6 Hg 3.40-3.68, 2 Tl 3.57, 5 Pb 3.61
Hg  0.5000  0.7133  0.4267  2 Hg 3.04, 1 Pb 3.38, 4 Tl 3.40
Hg  0.5000  0.2867  0.5733  2 Hg 3.04, 1 Pb 3.38, 4 Tl 3.40
Pb  0.5000  0.5714  0.1428  1 Hg 3.38, 7 Pb 3.40-3.57, 4 Tl 3.61
Pb  0.5000  0.4286  0.8572  1 Hg 3.38, 7 Pb 3.40-3.57, 4 Tl 3.61
Pb  0.0000  0.0000  0.0000  10 Pb 3.50-3.57, 2 Tl 3.61

=====

Computed, not measured: a relaxed structure of La2SmPuO8 at the PBE level of DFT.

Properties
Magnetization in μB per formula unit: 1.00
SG: P2/m, No. 10
Formation energy from raw total energies in eV per formula unit: -36.50

abc: 4.1296 5.6376 7.5867
angles: 90.00 90.00 96.34
With the nearest neighbours (Å) after each atom.
Element x y z (fractional)
La  0.5000  0.4999  0.7446  6 O 2.33-2.56
La  0.5000  0.5001  0.2554  6 O 2.33-2.56
Sm  0.0000  0.0000  0.5000  6 O 2.33-2.52
Pu  0.0000  0.0000  0.0000  6 O 1.97-2.11
O  0.0507  0.7733  0.2175  1 Pu 2.11
O  0.5848  0.7922  0.0000  1 Pu 1.97
O  0.9492  0.2266  0.2174  1 Pu 2.11
O  0.9493  0.2267  0.7825  1 Pu 2.11
O  0.4152  0.2078  0.0000  1 Pu 1.97
O  0.0508  0.7734  0.7826  1 Pu 2.11
O  0.5122  0.7494  0.5000  2 La 2.33, 1 Sm 2.33
O  0.4878  0.2506  0.5000  2 La 2.33, 1 Sm 2.33

=====

Computed, not measured: a relaxed structure of FePIr2 at the PBE level of DFT.

Properties
Magnetization in μB per formula unit: 2.73
SG: F-43m, No. 216
VASP energy in eV/atom: -7.6230

abc: 4.2707 4.2707 4.2707
angles: 60.00 60.00 60.00
With the nearest neighbours (Å) after each atom.
Element x y z (fractional)
Fe  0.5000  0.5000  0.5000  4 Ir 2.62, 4 P 2.62
Ir  0.0000  0.0000  0.0000  4 Ir 2.62, 4 P 2.62
Ir  0.2500  0.2500  0.2500  4 Fe 2.62, 4 Ir 2.62
P  0.7500  0.7500  0.7500  4 Fe 2.62, 4 Ir 2.62

=====

Computed, not measured: a relaxed structure of Li4BeN2 at the PBE level of DFT.

Properties
Magnetization in μB per formula unit: 0.00
SG: R-3m, No. 166
Formation energy from raw total energies in eV per formula unit: -4.19

abc: 3.6258 3.6258 6.1928
angles: 72.98 72.98 60.00
With the nearest neighbours (Å) after each atom.
Element x y z (fractional)
Li  0.4066  0.4066  0.7803  3 N 2.11, 3 Li 2.31
Li  0.2044  0.2044  0.3867  4 N 2.04-2.21
Li  0.7956  0.7956  0.6133  4 N 2.04-2.21
Li  0.5934  0.5934  0.2197  3 N 2.11, 3 Li 2.31
Be  0.0000  0.0000  0.0000  2 N 1.53
N  0.0876  0.0876  0.7372  1 Be 1.53
N  0.9124  0.9124  0.2628  1 Be 1.53

=====

Computed, not measured: a relaxed structure of CsTlZnSi2 at the PBE level of DFT.

Properties
Magnetization in μB per formula unit: 0.68
SG: P4/mmm, No. 123
Formation energy from raw total energies in eV per formula unit: 4.77

abc: 5.3601 5.3601 7.2285
angles: 90.00 90.00 90.00
With the nearest neighbours (Å) after each atom.
Element x y z (fractional)
Cs  0.0000  0.0000  0.5000  2 Tl 3.61, 4 Zn 3.79
Tl  0.0000  0.0000  0.0000  4 Si 2.68
Si  0.0000  0.5000  0.0000  2 Tl 2.68
Si  0.5000  0.0000  0.0000  2 Tl 2.68
Zn  0.5000  0.5000  0.5000  4 Cs 3.79

=====

no.,DOS(E_F) (states/eV/cell)
1,5.61
2,0.00
3,1.83
4,1.94
5,10.07
6,3.15
7,7.62
8,1.18
9,2.45
10,1.07
11,4.37
12,0.00
13,2.26